[1]
The following is a PBE-GGA calculation of a relaxed Pr2NdTmTh crystal, from Alexandria.

Results
The density of states at the Fermi level comes out at 14.27 states/eV/cell. Its total magnetization is 0.0000 μB per atom. The uncorrected energy is -24.7 eV/f.u. As for the space-group type: P2/c. For the volume, the calculation gives 35.846 Å³/atom.

Cell lengths 6.3913, 9.1804, 6.5210 Å; angles 110.47, 90.00, 90.00 degrees
Closest atoms and distances in Å follow each position.
Fractional coordinates of all 10 atoms:
Pr: 0.6871 0.6862 0.8428  1 Pr 3.20, 1 Th 3.36, 2 Tm 3.37-3.38, 1 Nd 3.45
Pr: 0.6871 0.3138 0.6572  1 Pr 3.20, 1 Th 3.36, 2 Tm 3.37-3.38, 1 Nd 3.45
Pr: 0.3129 0.6862 0.3428  1 Pr 3.20, 1 Th 3.36, 2 Tm 3.37-3.38, 1 Nd 3.45
Pr: 0.3129 0.3138 0.1572  1 Pr 3.20, 1 Th 3.36, 2 Tm 3.37-3.38, 1 Nd 3.45
Nd: 0.1655 0.5000 0.7500  8 Pr 3.45-3.76
Nd: 0.8345 0.5000 0.2500  8 Pr 3.45-3.76
Tm: 0.5008 0.0000 0.2500  2 Tm 3.26, 4 Pr 3.37-3.38, 4 Th 3.58-3.59
Tm: 0.4992 0.0000 0.7500  2 Tm 3.26, 4 Pr 3.37-3.38, 4 Th 3.58-3.59
Th: 0.0000 0.0000 0.0000  2 Th 3.26, 2 Pr 3.36, 4 Tm 3.58-3.59
Th: 0.0000 0.0000 0.5000  2 Th 3.26, 2 Pr 3.36, 4 Tm 3.58-3.59

***

[2]
The following is a PBE-GGA calculation of a relaxed DyH3Ru crystal, from Alexandria.

Results
The density of states at the Fermi level comes out at 2.74 states/eV/cell. Its total magnetization is 0.1435 μB per atom. The uncorrected energy is -26.2 eV/f.u. As for the space-group type: Pm-3m. For the volume, the calculation gives 9.699 Å³/atom.

Cell lengths 3.6467, 3.6467, 3.6467 Å; angles 90.00, 90.00, 90.00 degrees
Closest atoms and distances in Å follow each position.
Fractional coordinates of all 5 atoms:
Ru: 0.0000 0.0000 0.0000  6 H 1.82
H: 0.0000 0.5000 0.0000  2 Ru 1.82
H: 0.0000 0.0000 0.5000  2 Ru 1.82
H: 0.5000 0.0000 0.0000  2 Ru 1.82
Dy: 0.5000 0.5000 0.5000  12 H 2.58

***

[3]
The following is a PBE-GGA calculation of a relaxed Nb2AsPb crystal, from Alexandria.

Results
The density of states at the Fermi level comes out at 8.73 states/eV/cell. The value obtained for the offset from the most stable computed form is 261.3 meV per atom. Its total magnetization is 0.0000 μB per atom. The uncorrected energy is -26.9 eV/f.u. As for the space-group type: I-42d. For the volume, the calculation gives 21.309 Å³/atom.

Cell lengths 4.1502, 4.1502, 10.3233 Å; angles 78.40, 78.40, 90.00 degrees
Closest atoms and distances in Å follow each position.
Fractional coordinates of all 8 atoms:
Pb: 0.0000 0.0000 0.0000  4 Nb 2.91, 4 As 2.93
Pb: 0.7500 0.2500 0.5000  4 Nb 2.91, 4 As 2.93
Nb: 0.6044 0.1250 0.2500  4 Nb 2.82-3.06, 2 As 2.85, 2 Pb 2.91
Nb: 0.1456 0.6250 0.2500  4 Nb 2.82-3.06, 2 As 2.85, 2 Pb 2.91
Nb: 0.3750 0.3956 0.7500  4 Nb 2.82-3.06, 2 As 2.85, 2 Pb 2.91
Nb: 0.8750 0.8544 0.7500  4 Nb 2.82-3.06, 2 As 2.85, 2 Pb 2.91
As: 0.5000 0.5000 0.0000  4 Nb 2.85, 4 Pb 2.93
As: 0.2500 0.7500 0.5000  4 Nb 2.85, 4 Pb 2.93

***

[4]
The following is a PBE-GGA calculation of a relaxed Tc2TePt crystal, from Alexandria.

Results
As for the uncorrected formation energy: 128 kJ/mol of formula units. The density of states at the Fermi level comes out at 3.94 states/eV/cell. Its total magnetization is 0.0000 μB per atom. The uncorrected energy is -28.6 eV/f.u. As for the space-group type: P2/m. For the volume, the calculation gives 16.938 Å³/atom.

Cell lengths 4.1036, 3.0261, 5.7138 Å; angles 72.73, 90.00, 90.00 degrees
Closest atoms and distances in Å follow each position.
Fractional coordinates of all 4 atoms:
Pt: 0.5000 0.7500 0.7500  2 Te 2.81, 8 Tc 2.83-2.86, 2 Pt 3.03
Tc: 0.0000 0.1318 0.9812  1 Tc 2.52, 2 Te 2.65, 2 Pt 2.83
Tc: 0.0000 0.3682 0.5188  1 Tc 2.52, 2 Te 2.65, 2 Pt 2.83
Te: 0.5000 0.2500 0.2500  4 Tc 2.65, 2 Pt 2.81

***

Look up the total magnetization of the fourth one. 0.0000 μB per atom

***

Number 3 is which compound? Nb2AsPb

***

total magnetization of number 4 (Tc2TePt)? 0.0000 μB per atom